Entry 1:
# MoPdN3 PBE optimized geometry
# theoretical density: 6.63 g/cm3
# energy relative to the elements, uncorrected: 0.991 eV/atom
# magnetic moment: 0.0 μB per cell
# DOS(E_F): 4.731 states/eV/f.u.
# electronic total energy: -36.04 eV for the cell shown
data_MoPdN3
_chemical_formula_sum 'Mo1 Pd1 N3'
_cell_length_a 3.941
_cell_length_b 3.941
_cell_length_c 3.941
_cell_angle_alpha 90.00
_cell_angle_beta 90.00
_cell_angle_gamma 90.00
_symmetry_space_group_name_H-M 'P 1'
_symmetry_Int_Tables_number 1
loop_
_symmetry_equiv_pos_as_xyz
'x,y,z'
loop_
_atom_site_label
_atom_site_type_symbol
_atom_site_fract_x
_atom_site_fract_y
_atom_site_fract_z
Mo1 Mo 0.000 0.000 0.000
Pd1 Pd 0.500 0.500 0.500
N1 N 0.000 0.500 0.000
N2 N 0.000 0.000 0.500
N3 N 0.500 0.000 0.000

=====

Entry 2:
# MgAlAgHg PBE optimized geometry
# theoretical density: 7.90 g/cm3
# formation energy: -0.04 eV per atom
# magnetic moment: 0.0 μB per cell
# DOS(E_F): 0.964 states/eV/f.u.
# electronic total energy: -8.65 eV for the cell shown
data_MgAlAgHg
_chemical_formula_sum 'Mg1 Al1 Ag1 Hg1'
_cell_length_a 4.746
_cell_length_b 4.746
_cell_length_c 4.746
_cell_angle_alpha 60.00
_cell_angle_beta 60.00
_cell_angle_gamma 60.00
_symmetry_space_group_name_H-M 'P 1'
_symmetry_Int_Tables_number 1
loop_
_symmetry_equiv_pos_as_xyz
'x,y,z'
loop_
_atom_site_label
_atom_site_type_symbol
_atom_site_fract_x
_atom_site_fract_y
_atom_site_fract_z
Mg1 Mg 0.000 0.000 0.000
Hg1 Hg 0.750 0.750 0.750
Ag1 Ag 0.250 0.250 0.250
Al1 Al 0.500 0.500 0.500

=====

Entry 3:
# Tl2CdTe4 PBE optimized geometry
# theoretical density: 6.48 g/cm3
# energy relative to the elements, uncorrected: -0.183 eV/atom
# excess energy over the best structure of this formula in the dataset: 0.014 eV/f.u.
# magnetic moment: 0.0 μB per cell
# DOS(E_F): 0.530 states/eV/f.u.
# electronic total energy: -19.50 eV for the cell shown
data_Tl2CdTe4
_chemical_formula_sum 'Tl2 Cd1 Te4'
_cell_length_a 7.831
_cell_length_b 7.831
_cell_length_c 7.831
_cell_angle_alpha 131.41
_cell_angle_beta 131.41
_cell_angle_gamma 71.16
_symmetry_space_group_name_H-M 'P 1'
_symmetry_Int_Tables_number 1
loop_
_symmetry_equiv_pos_as_xyz
'x,y,z'
loop_
_atom_site_label
_atom_site_type_symbol
_atom_site_fract_x
_atom_site_fract_y
_atom_site_fract_z
Tl1 Tl 0.250 0.750 0.500
Tl2 Tl 0.750 0.250 0.500
Cd1 Cd 0.000 0.000 0.000
Te1 Te 0.385 0.829 0.000
Te2 Te 0.829 0.385 0.000
Te3 Te 0.171 0.171 0.556
Te4 Te 0.615 0.615 0.444

=====

> Number 2 is which compound?

MgAlAgHg